{"formula": "AsOs3", "functional": "PBE", "state": "relaxed", "lattice": [[5.214, 0.002, -0.003], [2.512, 4.569, 0.003], [-3.327, -3.192, 2.435]], "species": ["Os", "Os", "As", "Os"], "frac_coords": [[0.000, 0.500, 0.500], [0.722, 0.722, 0.000], [0.500, 0.000, 0.500], [0.278, 0.278, 0.000]], "e_above_lowest_polymorph_mev_per_atom": 214, "ef_ev_per_atom": 0.4652, "density_g_cm3": 18.47}


{"formula": "TbPtF", "functional": "PBE", "state": "relaxed", "lattice": [[-3.019, -1.956, 0.002], [0.796, -1.234, -5.209], [4.774, -4.056, 3.230]], "species": ["F", "Pt", "Tb", "Pt", "F", "Tb"], "frac_coords": [[0.756, 0.817, 0.511], [0.000, 0.265, 0.001], [0.630, 0.063, 0.260], [0.000, 0.735, 0.999], [0.244, 0.183, 0.489], [0.370, 0.937, 0.740]], "formation_energy_uncorrected_ev_per_atom": -2.236, "density_g_cm3": 9.56}


{"formula": "Cr3CdOs", "functional": "PBE", "state": "relaxed", "lattice": [[4.711, 0.000, 0.000], [0.000, 4.711, 0.000], [0.000, 0.000, 4.711]], "species": ["Cd", "Cr", "Os", "Cr", "Cr"], "frac_coords": [[0.500, 0.500, 0.500], [0.500, 0.000, 0.000], [0.000, 0.000, 0.000], [0.000, 0.500, 0.000], [0.000, 0.000, 0.500]], "e_above_lowest_polymorph_mev_per_atom": 0, "ef_ev_per_atom": 1.1795, "density_g_cm3": 7.28}


{"formula": "Rb2Ba8LiSb6O2", "functional": "PBE", "state": "relaxed", "lattice": [[9.197, -0.003, 0.000], [-0.162, 9.298, 0.000], [-4.422, -4.249, 8.280]], "species": ["Sb", "Sb", "Ba", "Sb", "Ba", "Li", "Sb", "Ba", "O", "Ba", "Ba", "Sb", "Ba", "Sb", "Rb", "Ba", "Rb", "O", "Ba"], "frac_coords": [[0.260, 0.241, 0.487], [0.612, 0.104, 0.994], [0.005, 0.495, 0.308], [0.415, 0.877, 0.022], [0.849, 0.060, 0.339], [0.667, 0.712, 0.186], [0.751, 0.759, 0.497], [0.512, 0.690, 0.696], [0.761, 0.283, 0.513], [0.302, 0.798, 0.298], [0.494, 0.311, 0.297], [0.854, 0.637, 0.015], [0.700, 0.199, 0.697], [0.121, 0.375, 0.001], [0.010, 0.004, 0.008], [0.992, 0.532, 0.718], [0.439, 0.426, 0.911], [0.251, 0.740, 0.501], [0.190, 0.978, 0.687]], "e_above_lowest_polymorph_mev_per_atom": 0, "formation_energy_uncorrected_ev_per_atom": -1.193, "density_g_cm3": 4.78}


{"formula": "NaLiBiTe3", "functional": "PBE", "state": "relaxed", "lattice": [[4.596, 0.000, 0.000], [0.000, 9.504, 0.058], [0.000, -3.607, 8.908]], "species": ["Te", "Bi", "Bi", "Na", "Te", "Te", "Li", "Te", "Te", "Te", "Li", "Na"], "frac_coords": [[0.250, 0.803, 0.529], [0.750, 0.319, 0.836], [0.250, 0.681, 0.164], [0.750, 0.778, 0.768], [0.750, 0.197, 0.471], [0.250, 0.090, 0.850], [0.250, 0.108, 0.564], [0.750, 0.460, 0.184], [0.250, 0.540, 0.816], [0.750, 0.910, 0.150], [0.750, 0.892, 0.436], [0.250, 0.222, 0.232]], "formation_energy_uncorrected_ev_per_atom": -0.507, "density_g_cm3": 5.29}


{"formula": "TcAuO2", "functional": "PBE", "state": "relaxed", "lattice": [[1.629, 0.000, 7.097], [-0.815, 1.411, 7.097], [-0.815, -1.411, 7.097]], "species": ["Au", "Tc", "O", "O"], "frac_coords": [[0.000, 0.000, 0.000], [0.500, 0.500, 0.500], [0.894, 0.894, 0.894], [0.106, 0.106, 0.106]], "e_above_lowest_polymorph_mev_per_atom": 0, "formation_energy_uncorrected_ev_per_atom": -0.707, "density_g_cm3": 11.09}


{"formula": "Ce2LuAg", "functional": "PBE", "state": "relaxed", "lattice": [[-0.662, 1.932, -2.671], [-0.168, -1.371, -3.065], [-11.045, -1.589, -0.527]], "species": ["Ag", "Ce", "Ce", "Lu"], "frac_coords": [[0.000, 0.000, 0.000], [0.745, 0.745, 0.764], [0.255, 0.255, 0.236], [0.500, 0.500, 0.500]], "e_above_lowest_polymorph_mev_per_atom": 55, "ef_ev_per_atom": 0.1115, "density_g_cm3": 8.68}


{"formula": "TbThNp2As4", "functional": "PBE", "state": "relaxed", "lattice": [[4.153, 0.000, 0.000], [0.000, 7.213, 0.129], [0.000, -2.517, 6.740]], "species": ["Np", "As", "Np", "As", "Tb", "As", "As", "Th"], "frac_coords": [[0.500, 0.000, 0.500], [0.500, 0.751, 0.744], [0.000, 0.500, 0.500], [0.000, 0.757, 0.257], [0.000, 0.000, 0.000], [0.500, 0.249, 0.256], [0.000, 0.243, 0.743], [0.500, 0.500, 0.000]], "ef_ev_per_atom": -1.0599, "density_g_cm3": 9.52}